# 1
# LaGd2Sn6Pb, optimized geometry, DFT GGA-PBE
# ρ = 8.3 Mg/m³
# uncorrected energy = -4.7638 eV per atom
# total magnetization = 0.00 Bohr magnetons per cell
data_LaGd2Sn6Pb
_chemical_formula_sum 'La1 Gd2 Sn6 Pb1'
_cell_length_a 12.9828
_cell_length_b 12.9828
_cell_length_c 4.6666
_cell_angle_alpha 90.00
_cell_angle_beta 90.00
_cell_angle_gamma 159.56
_symmetry_space_group_name_H-M 'P 1'
_symmetry_Int_Tables_number 1
loop_
_symmetry_equiv_pos_as_xyz
'x,y,z'
loop_
_atom_site_label
_atom_site_fract_x
_atom_site_fract_y
_atom_site_fract_z
_atom_site_occupancy
Pb1 0.5000 0.5000 0.5000 1
Sn1 0.0996 0.9004 0.5000 1
Sn2 0.5988 0.4012 0.0000 1
Sn3 0.9004 0.0996 0.5000 1
Sn4 0.4012 0.5988 0.0000 1
Sn5 0.2910 0.7090 0.5000 1
Sn6 0.7090 0.2910 0.5000 1
La1 0.0000 0.0000 0.0000 1
Gd1 0.8123 0.1877 0.0000 1
Gd2 0.1877 0.8123 0.0000 1

=====

# 2
# LaGd2Sn5Pb2, optimized geometry, DFT GGA-PBE
# ρ = 8.7 Mg/m³
# distance to the lowest polymorph of the same formula = 0.003 eV per atom
# total magnetization = 0.01 Bohr magnetons per cell
data_LaGd2Sn5Pb2
_chemical_formula_sum 'La1 Gd2 Sn5 Pb2'
_cell_length_a 12.9772
_cell_length_b 12.9772
_cell_length_c 4.6804
_cell_angle_alpha 90.00
_cell_angle_beta 90.00
_cell_angle_gamma 159.36
_symmetry_space_group_name_H-M 'P 1'
_symmetry_Int_Tables_number 1
loop_
_symmetry_equiv_pos_as_xyz
'x,y,z'
loop_
_atom_site_label
_atom_site_fract_x
_atom_site_fract_y
_atom_site_fract_z
_atom_site_occupancy
Pb1 0.7059 0.2941 0.5000 1
Pb2 0.2941 0.7059 0.5000 1
Sn1 0.0971 0.9029 0.5000 1
Sn2 0.5000 0.5000 0.5000 1
Sn3 0.5966 0.4034 0.0000 1
Sn4 0.4034 0.5966 0.0000 1
Sn5 0.9029 0.0971 0.5000 1
Gd1 0.1845 0.8155 0.0000 1
Gd2 0.8155 0.1845 0.0000 1
La1 0.0000 0.0000 0.0000 1

=====

# 3
# LaGd2SnPb6, optimized geometry, DFT GGA-PBE
# ρ = 10.4 Mg/m³
# uncorrected energy = -4.4883 eV per atom
# total magnetization = 0.00 Bohr magnetons per cell
data_LaGd2SnPb6
_chemical_formula_sum 'La1 Gd2 Sn1 Pb6'
_cell_length_a 13.1725
_cell_length_b 13.1725
_cell_length_c 4.7513
_cell_angle_alpha 90.00
_cell_angle_beta 90.00
_cell_angle_gamma 159.33
_symmetry_space_group_name_H-M 'P 1'
_symmetry_Int_Tables_number 1
loop_
_symmetry_equiv_pos_as_xyz
'x,y,z'
loop_
_atom_site_label
_atom_site_fract_x
_atom_site_fract_y
_atom_site_fract_z
_atom_site_occupancy
Gd1 0.1886 0.8114 0.0000 1
Gd2 0.8114 0.1886 0.0000 1
Sn1 0.5000 0.5000 0.5000 1
Pb1 0.4023 0.5977 0.0000 1
Pb2 0.9014 0.0986 0.5000 1
Pb3 0.0986 0.9014 0.5000 1
Pb4 0.7062 0.2938 0.5000 1
Pb5 0.2938 0.7062 0.5000 1
Pb6 0.5977 0.4023 0.0000 1
La1 0.0000 0.0000 0.0000 1

=====

# 4
# LaGd2Sn2Pb5, optimized geometry, DFT GGA-PBE
# ρ = 10.0 Mg/m³
# distance to the lowest polymorph of the same formula = 0.008 eV per atom
# total magnetization = 0.01 Bohr magnetons per cell
data_LaGd2Sn2Pb5
_chemical_formula_sum 'La1 Gd2 Sn2 Pb5'
_cell_length_a 13.1258
_cell_length_b 13.1258
_cell_length_c 4.7527
_cell_angle_alpha 90.00
_cell_angle_beta 90.00
_cell_angle_gamma 159.44
_symmetry_space_group_name_H-M 'P 1'
_symmetry_Int_Tables_number 1
loop_
_symmetry_equiv_pos_as_xyz
'x,y,z'
loop_
_atom_site_label
_atom_site_fract_x
_atom_site_fract_y
_atom_site_fract_z
_atom_site_occupancy
Pb1 0.2937 0.7063 0.5000 1
Pb2 0.9011 0.0989 0.5000 1
Pb3 0.0989 0.9011 0.5000 1
Pb4 0.5000 0.5000 0.5000 1
Pb5 0.7063 0.2937 0.5000 1
La1 0.0000 0.0000 0.0000 1
Sn1 0.4017 0.5983 0.0000 1
Sn2 0.5983 0.4017 0.0000 1
Gd1 0.8128 0.1872 0.0000 1
Gd2 0.1872 0.8128 0.0000 1

=====

# 5
# La2GdSnPb6, optimized geometry, DFT GGA-PBE
# ρ = 10.1 Mg/m³
# uncorrected energy = -4.5408 eV per atom
# total magnetization = 0.00 Bohr magnetons per cell
data_La2GdSnPb6
_chemical_formula_sum 'La2 Gd1 Sn1 Pb6'
_cell_length_a 13.3315
_cell_length_b 13.3315
_cell_length_c 4.7882
_cell_angle_alpha 90.00
_cell_angle_beta 90.00
_cell_angle_gamma 159.65
_symmetry_space_group_name_H-M 'P 1'
_symmetry_Int_Tables_number 1
loop_
_symmetry_equiv_pos_as_xyz
'x,y,z'
loop_
_atom_site_label
_atom_site_fract_x
_atom_site_fract_y
_atom_site_fract_z
_atom_site_occupancy
Gd1 0.0000 0.0000 0.0000 1
Pb1 0.5928 0.4072 0.0000 1
Pb2 0.4072 0.5928 0.0000 1
Pb3 0.9064 0.0936 0.5000 1
Pb4 0.2923 0.7077 0.5000 1
Pb5 0.7077 0.2923 0.5000 1
Pb6 0.0936 0.9064 0.5000 1
La1 0.1858 0.8142 0.0000 1
La2 0.8142 0.1858 0.0000 1
Sn1 0.5000 0.5000 0.5000 1

=====

# 6
# LaGd2Sn2Pb5, optimized geometry, DFT GGA-PBE
# ρ = 10.0 Mg/m³
# distance to the lowest polymorph of the same formula = 0.000 eV per atom
# total magnetization = 0.00 Bohr magnetons per cell
data_LaGd2Sn2Pb5
_chemical_formula_sum 'La1 Gd2 Sn2 Pb5'
_cell_length_a 13.1532
_cell_length_b 13.1532
_cell_length_c 4.7544
_cell_angle_alpha 90.00
_cell_angle_beta 90.00
_cell_angle_gamma 159.53
_symmetry_space_group_name_H-M 'P 1'
_symmetry_Int_Tables_number 1
loop_
_symmetry_equiv_pos_as_xyz
'x,y,z'
loop_
_atom_site_label
_atom_site_fract_x
_atom_site_fract_y
_atom_site_fract_z
_atom_site_occupancy
Pb1 0.8980 0.1020 0.5000 1
Pb2 0.5000 0.5000 0.5000 1
Pb3 0.6007 0.3993 0.0000 1
Pb4 0.3993 0.6007 0.0000 1
Pb5 0.1020 0.8980 0.5000 1
La1 0.0000 0.0000 0.0000 1
Gd1 0.8079 0.1921 0.0000 1
Gd2 0.1921 0.8079 0.0000 1
Sn1 0.2909 0.7091 0.5000 1
Sn2 0.7091 0.2909 0.5000 1

=====

# 7
# LaGd2Sn4Pb3, optimized geometry, DFT GGA-PBE
# ρ = 9.2 Mg/m³
# distance to the lowest polymorph of the same formula = 0.000 eV per atom
# total magnetization = 0.00 Bohr magnetons per cell
data_LaGd2Sn4Pb3
_chemical_formula_sum 'La1 Gd2 Sn4 Pb3'
_cell_length_a 13.0302
_cell_length_b 13.0302
_cell_length_c 4.6887
_cell_angle_alpha 90.00
_cell_angle_beta 90.00
_cell_angle_gamma 159.33
_symmetry_space_group_name_H-M 'P 1'
_symmetry_Int_Tables_number 1
loop_
_symmetry_equiv_pos_as_xyz
'x,y,z'
loop_
_atom_site_label
_atom_site_fract_x
_atom_site_fract_y
_atom_site_fract_z
_atom_site_occupancy
Gd1 0.8097 0.1903 0.0000 1
Gd2 0.1903 0.8097 0.0000 1
Sn1 0.7088 0.2912 0.5000 1
Sn2 0.2912 0.7088 0.5000 1
Sn3 0.8988 0.1012 0.5000 1
Sn4 0.1012 0.8988 0.5000 1
Pb1 0.3999 0.6001 0.0000 1
Pb2 0.5000 0.5000 0.5000 1
Pb3 0.6001 0.3999 0.0000 1
La1 0.0000 0.0000 0.0000 1

=====

# 8
# LaGd2Sn5Pb2, optimized geometry, DFT GGA-PBE
# ρ = 8.7 Mg/m³
# distance to the lowest polymorph of the same formula = 0.001 eV per atom
# total magnetization = 0.00 Bohr magnetons per cell
data_LaGd2Sn5Pb2
_chemical_formula_sum 'La1 Gd2 Sn5 Pb2'
_cell_length_a 13.0109
_cell_length_b 13.0109
_cell_length_c 4.7208
_cell_angle_alpha 90.00
_cell_angle_beta 90.00
_cell_angle_gamma 159.63
_symmetry_space_group_name_H-M 'P 1'
_symmetry_Int_Tables_number 1
loop_
_symmetry_equiv_pos_as_xyz
'x,y,z'
loop_
_atom_site_label
_atom_site_fract_x
_atom_site_fract_y
_atom_site_fract_z
_atom_site_occupancy
Sn1 0.2912 0.7088 0.5000 1
Sn2 0.7088 0.2912 0.5000 1
Sn3 0.4016 0.5984 0.0000 1
Sn4 0.5984 0.4016 0.0000 1
Sn5 0.5000 0.5000 0.5000 1
Gd1 0.1894 0.8106 0.0000 1
Gd2 0.8106 0.1894 0.0000 1
La1 0.0000 0.0000 0.0000 1
Pb1 0.9001 0.0999 0.5000 1
Pb2 0.0999 0.9001 0.5000 1

=====

# 9
# LaGd2Sn3PdPt2, optimized geometry, DFT GGA-PBE
# ρ = 10.5 Mg/m³
# uncorrected energy = -5.8786 eV per atom
# total magnetization = 0.01 Bohr magnetons per cell
data_LaGd2Sn3PdPt2
_chemical_formula_sum 'La1 Gd2 Sn3 Pd1 Pt2'
_cell_length_a 4.0982
_cell_length_b 7.6234
_cell_length_c 7.6234
_cell_angle_alpha 120.23
_cell_angle_beta 90.00
_cell_angle_gamma 90.00
_symmetry_space_group_name_H-M 'P 1'
_symmetry_Int_Tables_number 1
loop_
_symmetry_equiv_pos_as_xyz
'x,y,z'
loop_
_atom_site_label
_atom_site_fract_x
_atom_site_fract_y
_atom_site_fract_z
_atom_site_occupancy
Gd1 0.0000 0.9988 0.4095 1
Gd2 0.0000 0.4095 0.9988 1
Pd1 0.0000 0.0042 0.0042 1
Pt1 0.5000 0.3300 0.6692 1
Pt2 0.5000 0.6692 0.3300 1
La1 0.0000 0.5859 0.5859 1
Sn1 0.5000 0.0043 0.7473 1
Sn2 0.5000 0.2507 0.2507 1
Sn3 0.5000 0.7473 0.0043 1

=====

# 10
# La2GdSn3PdPt2, optimized geometry, DFT GGA-PBE
# ρ = 10.1 Mg/m³
# uncorrected energy = -5.9116 eV per atom
# total magnetization = 0.00 Bohr magnetons per cell
data_La2GdSn3PdPt2
_chemical_formula_sum 'La2 Gd1 Sn3 Pd1 Pt2'
_cell_length_a 4.1521
_cell_length_b 7.6772
_cell_length_c 7.6772
_cell_angle_alpha 119.90
_cell_angle_beta 90.00
_cell_angle_gamma 90.00
_symmetry_space_group_name_H-M 'P 1'
_symmetry_Int_Tables_number 1
loop_
_symmetry_equiv_pos_as_xyz
'x,y,z'
loop_
_atom_site_label
_atom_site_fract_x
_atom_site_fract_y
_atom_site_fract_z
_atom_site_occupancy
Pt1 0.5000 0.6644 0.3383 1
Pt2 0.5000 0.3383 0.6644 1
Gd1 0.0000 0.5898 0.5898 1
Sn1 0.5000 0.7480 0.9952 1
Sn2 0.5000 0.9952 0.7480 1
Sn3 0.5000 0.2539 0.2539 1
Pd1 0.0000 0.9949 0.9949 1
La1 0.0000 0.0008 0.4146 1
La2 0.0000 0.4146 0.0008 1

=====

# 11
# LaGdTl2Pd4, optimized geometry, DFT GGA-PBE
# ρ = 10.8 Mg/m³
# uncorrected energy = -5.0342 eV per atom
# total magnetization = 0.01 Bohr magnetons per cell
data_LaGdTl2Pd4
_chemical_formula_sum 'La1 Gd1 Tl2 Pd4'
_cell_length_a 4.7129
_cell_length_b 4.7129
_cell_length_c 9.0499
_cell_angle_alpha 90.00
_cell_angle_beta 90.00
_cell_angle_gamma 120.00
_symmetry_space_group_name_H-M 'P 1'
_symmetry_Int_Tables_number 1
loop_
_symmetry_equiv_pos_as_xyz
'x,y,z'
loop_
_atom_site_label
_atom_site_fract_x
_atom_site_fract_y
_atom_site_fract_z
_atom_site_occupancy
Tl1 0.3333 0.6667 0.7592 1
Tl2 0.3333 0.6667 0.2408 1
Gd1 0.0000 0.0000 0.0000 1
La1 0.6667 0.3333 0.5000 1
Pd1 0.0000 0.0000 0.3323 1
Pd2 0.6667 0.3333 0.8422 1
Pd3 0.6667 0.3333 0.1578 1
Pd4 0.0000 0.0000 0.6677 1

=====

# 12
# LaGdTl2Pt4, optimized geometry, DFT GGA-PBE
# ρ = 14.1 Mg/m³
# uncorrected energy = -5.5556 eV per atom
# total magnetization = 0.01 Bohr magnetons per cell
data_LaGdTl2Pt4
_chemical_formula_sum 'La1 Gd1 Tl2 Pt4'
_cell_length_a 4.6920
_cell_length_b 4.6920
_cell_length_c 9.1863
_cell_angle_alpha 90.00
_cell_angle_beta 90.00
_cell_angle_gamma 120.00
_symmetry_space_group_name_H-M 'P 1'
_symmetry_Int_Tables_number 1
loop_
_symmetry_equiv_pos_as_xyz
'x,y,z'
loop_
_atom_site_label
_atom_site_fract_x
_atom_site_fract_y
_atom_site_fract_z
_atom_site_occupancy
Pt1 0.0000 0.0000 0.3405 1
Pt2 0.3333 0.6667 0.8484 1
Pt3 0.0000 0.0000 0.6595 1
Pt4 0.3333 0.6667 0.1516 1
Gd1 0.0000 0.0000 0.0000 1
Tl1 0.6667 0.3333 0.2438 1
Tl2 0.6667 0.3333 0.7562 1
La1 0.3333 0.6667 0.5000 1

=====

# 13
# LaGdPu, optimized geometry, DFT GGA-PBE
# ρ = 9.1 Mg/m³
# DFT formation energy = 0.719 eV per atom
# total magnetization = 6.77 Bohr magnetons per cell
data_LaGdPu
_chemical_formula_sum 'La1 Gd1 Pu1'
_cell_length_a 5.1914
_cell_length_b 5.1914
_cell_length_c 5.1914
_cell_angle_alpha 60.00
_cell_angle_beta 60.00
_cell_angle_gamma 60.00
_symmetry_space_group_name_H-M 'P 1'
_symmetry_Int_Tables_number 1
loop_
_symmetry_equiv_pos_as_xyz
'x,y,z'
loop_
_atom_site_label
_atom_site_fract_x
_atom_site_fract_y
_atom_site_fract_z
_atom_site_occupancy
La1 0.0000 0.0000 0.0000 1
Pu1 0.7500 0.7500 0.7500 1
Gd1 0.2500 0.2500 0.2500 1